ZrWBr2: optimized geometry, PBE.

Cell: 9.3309 9.3309 9.3309 Å, 152.60 152.60 39.13°
With the nearest neighbours (Å) after each atom.
Fractional coordinates of all 8 atoms:
Zr  0.0000  0.0000  0.0000  4 Br 2.72
Zr  0.7500  0.2500  0.5000  4 Br 2.72
W  0.2500  0.7500  0.5000  4 Br 2.68
W  0.5000  0.5000  0.0000  4 Br 2.68
Br  0.1362  0.6250  0.0112  2 W 2.68, 2 Zr 2.72
Br  0.3750  0.3862  0.5112  2 W 2.68, 2 Zr 2.72
Br  0.6138  0.1250  0.9888  2 W 2.68, 2 Zr 2.72
Br  0.8750  0.8638  0.4888  2 W 2.68, 2 Zr 2.72

Values from the calculation:
Crystal system: tetragonal
V, Å³ per atom: 21.464
Polymorph energy (0 for the lowest one), meV per atom: 537
Formation energy (no corrections), kJ/mol of formula units: 181
Size of the total moment, μB/f.u.: 0.0